The following is a PBE-GGA calculation of Ca2Zr4P3N2 after structural relaxation, from the Alexandria database.

Properties
* formation energy (no corrections): -13.2 eV per formula unit

Cell: 4.3450 4.3450 22.0879 Å, 90.00 90.00 90.00°
With the nearest neighbours (Å) after each atom.
Space group I4/mmm (No. 139)
Asymmetric unit:
Ca1 0.0000 0.0000 0.1980 x4  1 N 2.32
Zr1 0.0000 0.5000 0.0764 x8  2 N 2.20
P1 0.0000 0.0000 0.3332 x4  4 Zr 2.95, 5 Ca 2.99-3.15
P2 0.0000 0.0000 0.5000 x2  8 Zr 2.75
N1 0.0000 0.0000 0.0928 x4  4 Zr 2.20, 1 Ca 2.32


The following is a PBE-GGA calculation of KSbTe2 after structural relaxation, from the Alexandria database.

Properties
* formation energy (no corrections): -1.8 eV per formula unit

Cell: 14.0643 4.3695 5.3578 Å, 90.00 96.56 90.00°
With the nearest neighbours (Å) after each atom.
Space group Cm (No. 8)
Asymmetric unit:
K1 0.0000 0.0000 0.0000 x2  5 Te 3.47-3.73
Sb1 0.2786 0.0000 0.4097 x2  3 Te 2.72-2.96
Te1 0.2370 0.5000 0.0418 x2  2 Sb 2.96
Te2 0.4731 0.0000 0.4905 x2  1 Sb 2.72


The following is a PBE-GGA calculation of Ba2MnAl after structural relaxation, from the Alexandria database.

Properties
* energy of formation from the pure elements: 0.20 eV per atom

Cell: 4.7436 5.2479 12.0341 Å, 90.00 90.00 90.00°
With the nearest neighbours (Å) after each atom.
Space group Amm2 (No. 38)
Asymmetric unit:
Ba1 0.0000 0.0000 0.0000 x2  3 Mn 3.45-3.77, 4 Al 3.73
Ba2 0.5000 0.0000 0.2933 x2  3 Al 3.52-3.67, 4 Mn 3.76
Mn1 0.0000 0.0000 0.6864 x2  2 Al 2.60
Al1 0.5000 0.0000 0.5983 x2  2 Mn 2.60


Number 1: uncorrected energy -84.28 eV/f.u.. Number 2: uncorrected energy -13.32 eV/f.u.. Number 3: uncorrected energy -15.97 eV/f.u..